# PdSCl2

A relaxed PdSCl2 crystal (PBE, Alexandria).

Unit cell a=4.6874 b=4.6874 c=4.6874 alpha=60.00 beta=60.00 gamma=60.00
Fractional coordinates of all 4 atoms:
Pd: 0.0000 0.0000 0.0000
S: 0.5000 0.5000 0.5000
Cl: 0.2500 0.2500 0.2500
Cl: 0.7500 0.7500 0.7500

Computed properties:
Magnetization, μB/f.u.: 1.30
Energy above the lowest structure with this stoichiometry, eV/atom: 0.588